(1)
Sc2SiBr: optimized geometry, PBE-GGA.

Cell: 4.8553 4.8553 4.8553 Å, 60.00 60.00 60.00°
Site moments in Bohr magnetons follow the coordinates.
Fractional positions:
Sc1 0.2500 0.2500 0.2500  0.20
Sc2 0.7500 0.7500 0.7500  0.20
Si1 0.0000 0.0000 0.0000  -0.01
Br1 0.5000 0.5000 0.5000  -0.01

As for the symmetry: Fm-3m, No. 225. As for the polymorph energy (0 for the lowest one): 366 meV per atom. For the uncorrected energy, the calculation gives -5.4758 eV per atom.

***

(2)
PuMo2C2: optimized geometry, PBE-GGA.

Cell: 5.6802 5.6802 5.8004 Å, 112.62 112.62 102.36°
Site moments in Bohr magnetons follow the coordinates.
Fractional positions:
Pu1 0.8750 0.6250 0.7500  5.02
Pu2 0.1250 0.3750 0.2500  5.02
Mo1 0.2320 0.9819 0.4640  -0.04
Mo2 0.4819 0.7320 0.9640  -0.04
Mo3 0.7680 0.0181 0.5360  -0.04
Mo4 0.5181 0.2680 0.0360  -0.04
C1 0.1712 0.3288 0.7500  -0.02
C2 0.4211 0.0789 0.2500  -0.02
C3 0.5789 0.9211 0.7500  -0.02
C4 0.8288 0.6712 0.2500  -0.02

As for the symmetry: Fddd, No. 70. Its energy of formation is 41 meV/atom. For the uncorrected energy, the calculation gives -10.8474 eV per atom.

***

- The lowest uncorrected energy belongs to which entry?
  PuMo2C2

***

- Look up the uncorrected energy of the second one.
  -10.8474 eV per atom

***

- Look up the uncorrected energy of the second one.
  -10.8474 eV per atom